[1]
Computed, not measured: a geometry-optimized Cd2As structure at the GGA-PBEsol level of DFT.

* V: 68.99 Å³/cell
* D(E_F): 0.45 states/eV/atom
* crystal system: tetragonal
* ΔE_f: 0.099 eV per atom
* E above lowest polymorph: 20 meV/atom

a b c (Å): 3.8578 4.2288 4.2288
angles (deg): 90.00 90.00 90.00
Last column: nearest neighbours and their distance in Å.
Sites, in units of the cell vectors:
As (0.0000, 0.0000, 0.0000)  8 Cd 2.86
Cd (0.5000, 0.5000, 0.0000)  4 As 2.86, 4 Cd 2.99
Cd (0.5000, 0.0000, 0.5000)  4 As 2.86, 4 Cd 2.99



[2]
Computed, not measured: a geometry-optimized Cd3As structure at the GGA-PBEsol level of DFT.

* V: 175.68 Å³/cell
* D(E_F): 0.33 states/eV/atom
* crystal system: orthorhombic
* ΔE_f: 0.034 eV per atom
* E above lowest polymorph: 0 meV/atom

a b c (Å): 4.1401 5.3624 7.9132
angles (deg): 90.00 90.00 90.00
Last column: nearest neighbours and their distance in Å.
Sites, in units of the cell vectors:
Cd (0.0000, 0.7857, 0.2825)  5 Cd 2.84-3.14, 3 As 2.87-2.98
Cd (0.0000, 0.7857, 0.7175)  5 Cd 2.84-3.14, 3 As 2.87-2.98
Cd (0.5000, 0.2143, 0.2175)  5 Cd 2.84-3.14, 3 As 2.87-2.98
Cd (0.5000, 0.2143, 0.7825)  5 Cd 2.84-3.14, 3 As 2.87-2.98
Cd (0.5000, 0.7922, 0.0000)  2 As 2.76, 6 Cd 2.84-3.05
Cd (0.0000, 0.2078, 0.5000)  2 As 2.76, 6 Cd 2.84-3.05
As (0.5000, 0.5488, 0.5000)  8 Cd 2.76-2.98
As (0.0000, 0.4512, 0.0000)  8 Cd 2.76-2.98



[3]
Computed, not measured: a geometry-optimized CdAs2 structure at the GGA-PBEsol level of DFT.

* V: 147.53 Å³/cell
* D(E_F): 0.00 states/eV/atom
* crystal system: tetragonal
* ΔE_f: -0.043 eV per atom

a b c (Å): 4.6723 6.0855 6.0855
angles (deg): 81.53 67.43 67.43
Last column: nearest neighbours and their distance in Å.
Sites, in units of the cell vectors:
Cd (0.0000, 0.0000, 0.0000)  4 As 2.69
Cd (0.7500, 0.5000, 0.5000)  4 As 2.69
As (0.8750, 0.8080, 0.6920)  2 As 2.45, 2 Cd 2.69
As (0.3750, 0.1920, 0.3080)  2 As 2.45, 2 Cd 2.69
As (0.3170, 0.8080, 0.3080)  2 As 2.45, 2 Cd 2.69
As (0.4330, 0.1920, 0.6920)  2 As 2.45, 2 Cd 2.69



[4]
Computed, not measured: a geometry-optimized Cd4AsCl structure at the GGA-PBEsol level of DFT.

* V: 130.77 Å³/cell
* D(E_F): 0.23 states/eV/atom
* crystal system: cubic
* total DFT energy (no corrections): -1.904 eV per atom

a b c (Å): 5.6974 5.6974 5.6974
angles (deg): 60.00 60.00 60.00
Last column: nearest neighbours and their distance in Å.
Sites, in units of the cell vectors:
Cd (0.8759, 0.3747, 0.3747)  6 Cd 2.84-2.86
Cd (0.3747, 0.8759, 0.3747)  6 Cd 2.84-2.86
Cd (0.3747, 0.3747, 0.3747)  6 Cd 2.84-2.86
Cd (0.3747, 0.3747, 0.8759)  6 Cd 2.84-2.86
Cl (0.7500, 0.7500, 0.7500)  12 Cd 3.34, 4 As 3.49
As (0.0000, 0.0000, 0.0000)  12 Cd 3.34, 4 Cl 3.49



[5]
Computed, not measured: a geometry-optimized CdAsCl3 structure at the GGA-PBEsol level of DFT.

* V: 123.80 Å³/cell
* D(E_F): 0.82 states/eV/atom
* crystal system: cubic
* total DFT energy (no corrections): -2.725 eV per atom

a b c (Å): 4.9840 4.9840 4.9840
angles (deg): 90.00 90.00 90.00
Last column: nearest neighbours and their distance in Å.
Sites, in units of the cell vectors:
Cl (0.5000, 0.0000, 0.0000)  2 As 2.49
Cl (0.0000, 0.5000, 0.0000)  2 As 2.49
Cl (0.0000, 0.0000, 0.5000)  2 As 2.49
As (0.0000, 0.0000, 0.0000)  6 Cl 2.49
Cd (0.5000, 0.5000, 0.5000)  12 Cl 3.52



[6]
Computed, not measured: a geometry-optimized Cd3AsCl3 structure at the GGA-PBEsol level of DFT.

* V: 743.99 Å³/cell
* crystal system: orthorhombic
* total DFT energy (no corrections): -2.796 eV per atom

a b c (Å): 7.0049 8.0622 13.1739
angles (deg): 90.00 90.00 90.00
Last column: nearest neighbours and their distance in Å.
Sites, in units of the cell vectors:
Cd (0.5000, 0.0000, 0.5000)  2 As 2.52
Cd (0.5000, 0.5000, 0.5000)  2 As 2.52
Cd (0.0000, 0.5000, 0.0000)  2 As 2.52
Cd (0.5072, 0.2500, 0.0878)  1 As 2.52, 3 Cl 2.55-2.61
Cd (0.0072, 0.7500, 0.4122)  1 As 2.52, 3 Cl 2.55-2.61
Cd (0.9928, 0.2500, 0.5878)  1 As 2.52, 3 Cl 2.55-2.61
Cd (0.5074, 0.7500, 0.2381)  3 Cl 2.51-2.73, 1 As 2.54
Cd (0.4928, 0.7500, 0.9122)  1 As 2.52, 3 Cl 2.55-2.61
Cd (0.9926, 0.7500, 0.7381)  3 Cl 2.51-2.73, 1 As 2.54
Cd (0.0074, 0.2500, 0.2619)  3 Cl 2.51-2.73, 1 As 2.54
Cd (0.0000, 0.0000, 0.0000)  2 As 2.52
Cd (0.4926, 0.2500, 0.7619)  3 Cl 2.51-2.73, 1 As 2.54
Cl (0.2962, 0.5190, 0.8317)  2 Cd 2.55-2.73
Cl (0.1987, 0.7500, 0.5826)  2 Cd 2.51-2.61
Cl (0.2038, 0.5190, 0.3317)  2 Cd 2.55-2.73
Cl (0.8013, 0.2500, 0.4174)  2 Cd 2.51-2.61
Cl (0.7038, 0.4810, 0.1683)  2 Cd 2.55-2.73
Cl (0.7962, 0.0190, 0.6683)  2 Cd 2.55-2.73
Cl (0.2962, 0.9810, 0.8317)  2 Cd 2.55-2.73
Cl (0.7962, 0.4810, 0.6683)  2 Cd 2.55-2.73
Cl (0.7038, 0.0190, 0.1683)  2 Cd 2.55-2.73
Cl (0.3013, 0.7500, 0.0826)  2 Cd 2.51-2.61
Cl (0.2038, 0.9810, 0.3317)  2 Cd 2.55-2.73
Cl (0.6987, 0.2500, 0.9174)  2 Cd 2.51-2.61
As (0.8522, 0.7500, 0.9160)  4 Cd 2.52-2.54
As (0.1478, 0.2500, 0.0840)  4 Cd 2.52-2.54
As (0.6478, 0.7500, 0.4160)  4 Cd 2.52-2.54
As (0.3522, 0.2500, 0.5840)  4 Cd 2.52-2.54



| no. | total magnetic moment (μB per cell) |
| --- | --- |
| 1 | 0.00 |
| 2 | 0.00 |
| 3 | 0.00 |
| 4 | 0.00 |
| 5 | 0.01 |
| 6 | 0.00 |